Compound: CaAl3Ag2
Source: Alexandria
Functional: PBE
Structure: relaxed

abc: 8.4975 8.4975 8.1721
angles: 114.81 114.81 27.96
Last column: nearest neighbours and their distance in Å.
Atoms (fractional coordinates):
Ca 0.1419 0.1419 0.0581  7 Ag 3.20-3.49, 2 Al 3.50
Ca 0.8581 0.8581 0.9419  7 Ag 3.20-3.49, 2 Al 3.50
Al 0.0445 0.0445 0.3950  3 Ag 2.62-2.73, 1 Al 2.70
Al 0.3154 0.3154 0.5462  4 Ag 2.64-2.79, 3 Al 2.82-2.83
Al 0.4038 0.4038 0.3182  3 Ag 2.63-2.68, 1 Al 2.82
Al 0.5962 0.5962 0.6818  3 Ag 2.63-2.68, 1 Al 2.82
Al 0.6846 0.6846 0.4538  4 Ag 2.64-2.79, 3 Al 2.82-2.83
Al 0.9555 0.9555 0.6050  3 Ag 2.62-2.73, 1 Al 2.70
Ag 0.2039 0.2039 0.6997  6 Al 2.64-2.79
Ag 0.4785 0.4785 0.8197  4 Al 2.62-2.65, 1 Ag 2.72
Ag 0.5215 0.5215 0.1803  4 Al 2.62-2.65, 1 Ag 2.72
Ag 0.7961 0.7961 0.3003  6 Al 2.64-2.79

Properties
Energy relative to the elements, eV/f.u.: -1.0
V, Å³ per cell: 249
VASP energy, eV/cell: -39.80
Polymorph energy (0 for the lowest one), meV per atom: 120.8

Compound: CaAlAg
Source: Alexandria
Functional: PBE
Structure: relaxed

abc: 5.6556 5.6556 5.6556
angles: 120.19 117.87 91.70
Last column: nearest neighbours and their distance in Å.
Atoms (fractional coordinates):
Ca 0.3732 0.1232 0.2500  6 Al 3.26-3.39, 6 Ag 3.31-3.32, 4 Ca 3.46-3.51
Ca 0.6268 0.8768 0.7500  6 Al 3.26-3.39, 6 Ag 3.31-3.32, 4 Ca 3.46-3.51
Al 0.0000 0.0000 0.5000  2 Al 2.82, 4 Ag 2.83
Al 0.0000 0.5000 0.0000  2 Al 2.82, 4 Ag 2.83
Ag 0.0000 0.5000 0.5000  4 Al 2.83, 2 Ag 2.92
Ag 0.5000 0.5000 0.0000  4 Al 2.83, 2 Ag 2.92

Properties
Energy relative to the elements, eV/f.u.: -1.0
V, Å³ per cell: 130
VASP energy, eV/cell: -19.15

Question: Which formula does entry 1 have?
Answer: CaAl3Ag2